Here is CaCdN3 after structural relaxation from the Alexandria database. Energies are from PBE-GGA.

* uncorrected formation energy: 7.01 eV/f.u.
* Fermi-level density of states: 2.0 states/eV/cell
* space-group type: Pm-3m (221)

Cell: 4.2241 4.2241 4.2241 Å, 90.00 90.00 90.00°
Last column: nearest neighbours and their distance in Å.
Fractional coordinates of all 5 atoms:
Ca: 0.0000 0.0000 0.0000  12 N 2.99
Cd: 0.5000 0.5000 0.5000  6 N 2.11
N: 0.0000 0.5000 0.5000  2 Cd 2.11
N: 0.5000 0.0000 0.5000  2 Cd 2.11
N: 0.5000 0.5000 0.0000  2 Cd 2.11

***

Here is PmHoHg after structural relaxation from the Alexandria database. Energies are from PBE-GGA.

* ΔE_f: -0.19 eV per atom
* Fermi-level density of states: 3.8 states/eV/cell
* space-group type: P3m1 (156)
* polymorph energy (0 for the lowest one): 116 meV per atom

Cell: 5.1536 5.1536 3.8260 Å, 90.00 90.00 120.00°
Last column: nearest neighbours and their distance in Å.
Fractional coordinates of all 3 atoms:
Pm: 0.0000 0.0000 0.0000  3 Hg 3.31, 6 Ho 3.47-3.61
Ho: 0.3333 0.6667 0.4678  3 Hg 3.03
Hg: 0.6667 0.3333 0.6207  3 Ho 3.03, 3 Pm 3.31

***

Here is Al2GaTc after structural relaxation from the Alexandria database. Energies are from PBE-GGA.

* ΔE_f: 0.27 eV per atom
* Fermi-level density of states: 6.1 states/eV/cell
* space-group type: P6_3/mmc (194)

Cell: 4.4091 4.4091 7.6405 Å, 90.00 90.00 120.00°
Last column: nearest neighbours and their distance in Å.
Fractional coordinates of all 8 atoms:
Al: 0.3333 0.6667 0.0846  1 Al 2.53, 1 Ga 2.56
Al: 0.3333 0.6667 0.4154  1 Al 2.53, 1 Ga 2.56
Al: 0.6667 0.3333 0.5846  1 Al 2.53, 1 Ga 2.56
Al: 0.6667 0.3333 0.9154  1 Al 2.53, 1 Ga 2.56
Ga: 0.3333 0.6667 0.7500  3 Tc 2.55, 8 Al 2.56-2.84
Ga: 0.6667 0.3333 0.2500  3 Tc 2.55, 8 Al 2.56-2.84
Tc: 0.0000 0.0000 0.2500  3 Ga 2.55, 6 Al 2.84
Tc: 0.0000 0.0000 0.7500  3 Ga 2.55, 6 Al 2.84

***

Here is Na6Dy after structural relaxation from the Alexandria database. Energies are from PBE-GGA.

* ΔE_f: 0.57 eV per atom
* Fermi-level density of states: 5.6 states/eV/cell
* space-group type: Im-3m (229)

Cell: 7.1285 7.1285 7.1285 Å, 109.47 109.47 109.47°
Last column: nearest neighbours and their distance in Å.
Fractional coordinates of all 7 atoms:
Na: 0.2500 0.5000 0.7500  4 Na 2.91
Na: 0.2500 0.7500 0.5000  4 Na 2.91
Na: 0.5000 0.2500 0.7500  4 Na 2.91
Na: 0.5000 0.7500 0.2500  4 Na 2.91
Na: 0.7500 0.2500 0.5000  4 Na 2.91
Na: 0.7500 0.5000 0.2500  4 Na 2.91
Dy: 0.0000 0.0000 0.0000  24 Na 4.60

***

Here is LiHo2Sc3S6 after structural relaxation from the Alexandria database. Energies are from PBE-GGA.

* uncorrected formation energy: -22.72 eV/f.u.
* Fermi-level density of states: 5.4 states/eV/cell
* space-group type: C2/m (12)

Cell: 6.5026 6.5026 6.5471 Å, 99.57 99.57 120.07°
Last column: nearest neighbours and their distance in Å.
Fractional coordinates of all 12 atoms:
Li: 0.0000 0.0000 0.0000  6 S 2.63-2.65
Ho: 0.3343 0.6657 0.0000  6 S 2.70-2.72
Ho: 0.6657 0.3343 0.0000  6 S 2.70-2.72
Sc: 0.1646 0.8354 0.5000  6 S 2.60-2.68
Sc: 0.5000 0.5000 0.5000  6 S 2.61-2.70
Sc: 0.8354 0.1646 0.5000  6 S 2.60-2.68
S: 0.0864 0.4120 0.2597  3 Sc 2.61-2.68, 1 Li 2.65, 2 Ho 2.72
S: 0.2382 0.2382 0.7448  3 Sc 2.60-2.70, 1 Li 2.63, 2 Ho 2.70
S: 0.4120 0.0864 0.2597  3 Sc 2.61-2.68, 1 Li 2.65, 2 Ho 2.72
S: 0.5880 0.9136 0.7403  3 Sc 2.61-2.68, 1 Li 2.65, 2 Ho 2.72
S: 0.7618 0.7618 0.2552  3 Sc 2.60-2.70, 1 Li 2.63, 2 Ho 2.70
S: 0.9136 0.5880 0.7403  3 Sc 2.61-2.68, 1 Li 2.65, 2 Ho 2.72

***

Here is AlTlAg2W after structural relaxation from the Alexandria database. Energies are from PBE-GGA.

* ΔE_f: 1.80 eV per atom
* Fermi-level density of states: 2.3 states/eV/cell
* space-group type: P4/mmm (123)

Cell: 5.1831 5.1831 5.0548 Å, 90.00 90.00 90.00°
Last column: nearest neighbours and their distance in Å.
Fractional coordinates of all 5 atoms:
Al: 0.0000 0.0000 0.0000  2 Tl 2.53
Tl: 0.0000 0.0000 0.5000  2 Al 2.53, 4 Ag 2.59
Ag: 0.0000 0.5000 0.5000  2 Tl 2.59
Ag: 0.5000 0.0000 0.5000  2 Tl 2.59
W: 0.5000 0.5000 0.0000  8 Ag 3.62, 4 Al 3.66

***

Here is Te2MoN after structural relaxation from the Alexandria database. Energies are from PBE-GGA.

* uncorrected formation energy: 4.06 eV/f.u.
* Fermi-level density of states: 7.1 states/eV/cell
* space-group type: I-42d (122)

Cell: 6.8719 6.8719 6.8719 Å, 130.78 130.78 72.17°
Last column: nearest neighbours and their distance in Å.
Fractional coordinates of all 8 atoms:
Te: 0.0842 0.6250 0.9592  2 N 2.33, 2 Mo 2.60
Te: 0.3750 0.3342 0.4592  2 N 2.33, 2 Mo 2.60
Te: 0.6659 0.1250 0.0408  2 N 2.33, 2 Mo 2.60
Te: 0.8750 0.9158 0.5409  2 N 2.33, 2 Mo 2.60
Mo: 0.2500 0.7500 0.5000  4 Te 2.60
Mo: 0.5000 0.5000 0.0000  4 Te 2.60
N: 0.0000 0.0000 0.0000  4 Te 2.33
N: 0.7500 0.2500 0.5000  4 Te 2.33

***

Here is NiSb2P after structural relaxation from the Alexandria database. Energies are from PBE-GGA.

* uncorrected formation energy: 0.11 eV/f.u.
* Fermi-level density of states: 1.6 states/eV/cell
* space-group type: R3m (160)

Cell: 7.6622 7.6622 7.6622 Å, 26.95 26.95 26.95°
Last column: nearest neighbours and their distance in Å.
Fractional coordinates of all 4 atoms:
Ni: 0.0000 0.0000 0.0000  3 P 2.25
Sb: 0.5268 0.5268 0.5268  3 P 3.01
Sb: 0.7396 0.7396 0.7396  3 Ni 2.62
P: 0.2925 0.2925 0.2925  3 Ni 2.25

***

Here is Li3TlSb2 after structural relaxation from the Alexandria database. Energies are from PBE-GGA.

* uncorrected formation energy: -1.97 eV/f.u.
* Fermi-level density of states: 7.2 states/eV/cell
* space-group type: C2/m (12)

Cell: 8.5487 8.5487 8.0635 Å, 118.08 118.08 33.41°
Last column: nearest neighbours and their distance in Å.
Fractional coordinates of all 12 atoms:
Li: 0.9997 0.9997 0.1671  1 Li 2.70, 4 Sb 2.77-2.96
Li: 0.0003 0.0003 0.8329  1 Li 2.70, 4 Sb 2.77-2.96
Li: 0.3145 0.3145 0.0185  4 Sb 2.82-3.02, 1 Tl 3.03, 2 Li 3.16
Li: 0.3145 0.3145 0.6102  4 Sb 2.82-3.02, 1 Tl 3.02, 2 Li 3.16
Li: 0.6855 0.6855 0.3898  4 Sb 2.82-3.02, 1 Tl 3.02, 2 Li 3.16
Li: 0.6855 0.6855 0.9815  4 Sb 2.82-3.02, 1 Tl 3.03, 2 Li 3.16
Tl: 0.1364 0.1364 0.6361  4 Li 3.02-3.32
Tl: 0.8636 0.8636 0.3639  4 Li 3.02-3.32
Sb: 0.1844 0.1844 0.1846  8 Li 2.95-3.02
Sb: 0.4999 0.4999 0.3248  4 Li 2.77-2.82, 1 Sb 2.82
Sb: 0.5001 0.5001 0.6752  4 Li 2.77-2.82, 1 Sb 2.82
Sb: 0.8156 0.8156 0.8154  8 Li 2.95-3.02

***

Here is NdBeNbN3 after structural relaxation from the Alexandria database. Energies are from PBE-GGA.

* uncorrected formation energy: -6.62 eV/f.u.
* Fermi-level density of states: 5.1 states/eV/cell
* space-group type: P2_1/m (11)

Cell: 6.8618 3.1916 6.9065 Å, 90.00 105.40 90.00°
Last column: nearest neighbours and their distance in Å.
Fractional coordinates of all 12 atoms:
Nd: 0.1926 0.2500 0.2231  7 N 2.44-2.68
Nd: 0.8074 0.7500 0.7769  7 N 2.44-2.68
Be: 0.0810 0.2500 0.6013  4 N 1.71-1.83
Be: 0.9190 0.7500 0.3987  4 N 1.71-1.83
Nb: 0.3387 0.7500 0.8363  6 N 2.13-2.22
Nb: 0.6613 0.2500 0.1637  6 N 2.13-2.22
N: 0.1193 0.2500 0.8568  1 Be 1.71
N: 0.1717 0.7500 0.5280  3 Be 1.73-1.83
N: 0.4459 0.7500 0.1623  3 Nb 2.17
N: 0.5541 0.2500 0.8377  3 Nb 2.17
N: 0.8283 0.2500 0.4720  3 Be 1.73-1.83
N: 0.8807 0.7500 0.1432  1 Be 1.71

***

Here is MgW2I2 after structural relaxation from the Alexandria database. Energies are from PBE-GGA.

* uncorrected formation energy: 5.88 eV/f.u.
* Fermi-level density of states: 3.6 states/eV/cell
* space-group type: I4/mmm (139)
* polymorph energy (0 for the lowest one): 0 meV per atom

Cell: 5.7475 5.7475 5.7475 Å, 125.13 125.13 81.32°
Last column: nearest neighbours and their distance in Å.
Fractional coordinates of all 5 atoms:
Mg: 0.0000 0.0000 0.0000  2 W 3.19, 8 I 3.43
W: 0.3658 0.3658 0.0000  1 W 2.34
W: 0.6342 0.6342 0.0000  1 W 2.34
I: 0.2500 0.7500 0.5000  4 W 2.83
I: 0.7500 0.2500 0.5000  4 W 2.83

***

Here is Ca3ScBi after structural relaxation from the Alexandria database. Energies are from PBE-GGA.

* ΔE_f: 0.59 eV per atom
* Fermi-level density of states: 4.6 states/eV/cell
* space-group type: Pm-3m (221)
* polymorph energy (0 for the lowest one): 437 meV per atom

Cell: 5.8300 5.8300 5.8300 Å, 90.00 90.00 90.00°
Last column: nearest neighbours and their distance in Å.
Fractional coordinates of all 5 atoms:
Ca: 0.0000 0.0000 0.5000  2 Sc 2.91
Ca: 0.0000 0.5000 0.0000  2 Sc 2.91
Ca: 0.5000 0.0000 0.0000  2 Sc 2.91
Sc: 0.0000 0.0000 0.0000  6 Ca 2.91
Bi: 0.5000 0.5000 0.5000  12 Ca 4.12